Below is a geometry-optimized Co2PbCl structure, with properties calculated at the GGA-PBE level.

- formation energy from raw total energies (eV/atom) = 0.1902

Cell: 4.3338 4.7680 7.6579 Å, 90.00 90.00 90.00°
Closest atoms and distances in Å follow each position.
Space group Cmm2 (No. 35)
Inequivalent atoms, fractional coordinates:
Co: 0.0000 0.0000 0.0000  1 Cl 2.36, 4 Co 2.37-2.57
Co: 0.0000 0.5000 0.1244  4 Co 2.37-2.57, 2 Cl 2.58
Pb: 0.0000 0.5000 0.7483  5 Co 2.88-3.07, 4 Pb 3.22
Cl: 0.0000 0.0000 0.3077  3 Co 2.36-2.58